Model one:
Entry from Alexandria via LeMat-Bulk: a geometry-optimized RbTe3W structure (PBE).

Output
Mass density (Mg/m³): 5.4
M_tot (μB/f.u.): 0.00

Cell: 5.845 5.845 5.845 Å, 90.00 90.00 90.00°
Space group Pm-3m (No. 221)
Inequivalent atoms, fractional coordinates:
Rb 0.000 0.000 0.000 [1 per cell]
Te 0.000 0.000 0.500 [3 per cell]
W 0.500 0.500 0.500 [1 per cell]


Model two:
Entry from Alexandria via LeMat-Bulk: a geometry-optimized RbTe3W structure (PBE).

Output
Mass density (Mg/m³): 6.6
M_tot (μB/f.u.): 0.00

Cell: 5.466 5.466 5.466 Å, 90.00 90.00 90.00°
Space group Pm-3m (No. 221)
Inequivalent atoms, fractional coordinates:
Rb 0.000 0.000 0.000 [1 per cell]
Te 0.000 0.500 0.500 [3 per cell]
W 0.500 0.500 0.500 [1 per cell]


Name the least stable of them. model one.


Model one:
Entry from Alexandria via LeMat-Bulk: a geometry-optimized RbYTe3 structure (PBE).

Output
Mass density (Mg/m³): 4.4
M_tot (μB/f.u.): 0.00

Cell: 5.962 5.962 5.962 Å, 90.00 90.00 90.00°
Space group Pm-3m (No. 221)
Inequivalent atoms, fractional coordinates:
Rb 0.000 0.000 0.000 [1 per cell]
Y 0.500 0.500 0.500 [1 per cell]
Te 0.000 0.500 0.500 [3 per cell]


Model two:
Entry from Alexandria via LeMat-Bulk: a geometry-optimized RbYTe3 structure (PBE).

Output
Mass density (Mg/m³): 4.4
M_tot (μB/f.u.): 0.00

Cell: 5.938 5.938 5.938 Å, 90.00 90.00 90.00°
Space group Pm-3m (No. 221)
Inequivalent atoms, fractional coordinates:
Rb 0.000 0.000 0.000 [1 per cell]
Y 0.500 0.500 0.500 [1 per cell]
Te 0.000 0.000 0.500 [3 per cell]


Model three:
Entry from Alexandria via LeMat-Bulk: a geometry-optimized RbYTe3 structure (PBE).

Output
Mass density (Mg/m³): 4.8
M_tot (μB/f.u.): 0.00

Cell: 16.234 6.701 7.150 Å, 90.00 90.00 90.00°
Space group Pbcm (No. 57)
Inequivalent atoms, fractional coordinates:
Rb 0.185 0.029 0.250 [4 per cell]
Y 0.418 0.750 0.000 [4 per cell]
Te 0.004 0.750 0.000 [4 per cell]
Te 0.295 0.545 0.250 [4 per cell]
Te 0.433 0.115 0.250 [4 per cell]


Name the least stable of them. model two.


Model one:
Entry from Alexandria via LeMat-Bulk: a geometry-optimized RbY2Te2 structure (PBE).

Output
Mass density (Mg/m³): 4.4
M_tot (μB/f.u.): 0.00

Cell: 5.025 5.025 15.436 Å, 90.00 90.00 90.00°
Space group I4/mmm (No. 139)
Inequivalent atoms, fractional coordinates:
Rb 0.000 0.000 0.000 [2 per cell]
Y 0.000 0.500 0.250 [4 per cell]
Te 0.000 0.000 0.363 [4 per cell]


Model two:
Entry from Alexandria via LeMat-Bulk: a geometry-optimized RbY2Te2 structure (PBE).

Output
Mass density (Mg/m³): 5.5
M_tot (μB/f.u.): 0.14

Cell: 8.929 8.929 3.942 Å, 90.00 90.00 90.00°
Space group P4/mbm (No. 127)
Inequivalent atoms, fractional coordinates:
Rb 0.000 0.000 0.000 [2 per cell]
Y 0.143 0.357 0.500 [4 per cell]
Te 0.143 0.643 0.000 [4 per cell]


Name the least stable of them. model two.


Model one:
Entry from Alexandria via LeMat-Bulk: a geometry-optimized Rb2YTe2 structure (PBE).

Output
Mass density (Mg/m³): 4.8
M_tot (μB/f.u.): 0.99

Cell: 4.481 4.481 17.568 Å, 90.00 90.00 90.00°
Space group I4/mmm (No. 139)
Inequivalent atoms, fractional coordinates:
Rb 0.000 0.500 0.250 [4 per cell]
Y 0.000 0.000 0.000 [2 per cell]
Te 0.000 0.000 0.403 [4 per cell]


Model two:
Entry from Alexandria via LeMat-Bulk: a geometry-optimized Rb2YTe2 structure (PBE).

Output
Mass density (Mg/m³): 4.3
M_tot (μB/f.u.): 0.88

Cell: 8.515 8.515 5.549 Å, 90.00 90.00 90.00°
Space group P4/mbm (No. 127)
Inequivalent atoms, fractional coordinates:
Rb 0.140 0.360 0.000 [4 per cell]
Y 0.000 0.000 0.500 [2 per cell]
Te 0.178 0.678 0.500 [4 per cell]


Name the least stable of them. model one.


Model one:
Entry from Alexandria via LeMat-Bulk: a geometry-optimized Rb3Zn2Te4 structure (PBE).

Output
Mass density (Mg/m³): 4.4
M_tot (μB/f.u.): 0.00

Cell: 16.955 4.274 10.839 Å, 90.00 120.34 90.00°
Space group C2/m (No. 12)
Inequivalent atoms, fractional coordinates:
Rb 0.000 0.000 0.000 [2 per cell]
Rb 0.106 0.500 0.711 [4 per cell]
Zn 0.194 0.500 0.351 [4 per cell]
Te 0.121 0.000 0.415 [4 per cell]
Te 0.195 0.500 0.111 [4 per cell]


Model two:
Entry from Alexandria via LeMat-Bulk: a geometry-optimized Rb3Zn2Te4 structure (PBE).

Output
Mass density (Mg/m³): 3.9
M_tot (μB/f.u.): 0.00

Cell: 4.250 10.158 10.280 Å, 63.64 78.08 77.94°
Space group P-1 (No. 2)
Inequivalent atoms, fractional coordinates:
Rb 0.000 0.000 0.000 [1 per cell]
Rb 0.119 0.352 0.410 [2 per cell]
Zn 0.328 0.392 0.951 [2 per cell]
Te 0.218 0.699 0.866 [2 per cell]
Te 0.479 0.302 0.740 [2 per cell]


Name the least stable of them. model one.


Model one:
Entry from Alexandria via LeMat-Bulk: a geometry-optimized Rb2Zn2Te structure (PBE).

Output
Mass density (Mg/m³): 4.0
M_tot (μB/f.u.): 0.00

Cell: 8.189 8.189 5.283 Å, 90.00 90.00 90.00°
Space group P4/mbm (No. 127)
Inequivalent atoms, fractional coordinates:
Rb 0.192 0.308 0.000 [4 per cell]
Zn 0.114 0.614 0.500 [4 per cell]
Te 0.000 0.000 0.500 [2 per cell]


Model two:
Entry from Alexandria via LeMat-Bulk: a geometry-optimized Rb2Zn2Te structure (PBE).

Output
Mass density (Mg/m³): 3.4
M_tot (μB/f.u.): 0.00

Cell: 6.728 6.728 9.343 Å, 90.00 90.00 90.00°
Space group I4/mmm (No. 139)
Inequivalent atoms, fractional coordinates:
Rb 0.000 0.500 0.250 [4 per cell]
Zn 0.000 0.000 0.157 [4 per cell]
Te 0.000 0.000 0.500 [2 per cell]


Name the least stable of them. model two.


Model one:
Entry from Alexandria via LeMat-Bulk: a geometry-optimized RbZn2Te2 structure (PBE).

Output
Mass density (Mg/m³): 4.7
M_tot (μB/f.u.): 0.00

Cell: 4.833 4.833 14.154 Å, 90.00 90.00 90.00°
Space group I4/mmm (No. 139)
Inequivalent atoms, fractional coordinates:
Rb 0.000 0.000 0.000 [2 per cell]
Zn 0.000 0.500 0.250 [4 per cell]
Te 0.000 0.000 0.348 [4 per cell]


Model two:
Entry from Alexandria via LeMat-Bulk: a geometry-optimized RbZn2Te2 structure (PBE).

Output
Mass density (Mg/m³): 5.4
M_tot (μB/f.u.): 0.00

Cell: 5.198 5.198 10.702 Å, 90.00 90.00 90.00°
Space group I4/mmm (No. 139)
Inequivalent atoms, fractional coordinates:
Rb 0.000 0.000 0.000 [2 per cell]
Zn 0.000 0.000 0.385 [4 per cell]
Te 0.000 0.500 0.250 [4 per cell]


Name the least stable of them. model two.


Model one:
Entry from Alexandria via LeMat-Bulk: a geometry-optimized Rb2ZnTe structure (PBE).

Output
Mass density (Mg/m³): 2.6
M_tot (μB/f.u.): 0.00

Cell: 6.645 6.645 21.428 Å, 90.00 90.00 90.00°
Space group I-42d (No. 122)
Inequivalent atoms, fractional coordinates:
Rb 0.224 0.250 0.125 [8 per cell]
Zn 0.000 0.000 0.500 [4 per cell]
Te 0.000 0.000 0.000 [4 per cell]


Model two:
Entry from Alexandria via LeMat-Bulk: a geometry-optimized Rb2ZnTe structure (PBE).

Output
Mass density (Mg/m³): 3.7
M_tot (μB/f.u.): 0.00

Cell: 8.671 8.671 8.671 Å, 90.00 90.00 90.00°
Space group Fm-3m (No. 225)
Inequivalent atoms, fractional coordinates:
Rb 0.250 0.250 0.250 [8 per cell]
Zn 0.000 0.000 0.000 [4 per cell]
Te 0.000 0.000 0.500 [4 per cell]


Name the least stable of them. model one.